Record 1
DFT (PBE-GGA) results for a geometry-optimized Tb3Zn structure.

Cell lengths 3.576, 3.576, 8.619 Å; angles 90.00, 90.00, 90.00 degrees
Positions (direct):
Zn1 0.000 0.000 0.000
Tb1 0.500 0.500 0.208
Tb2 0.500 0.500 0.792
Tb3 0.000 0.000 0.500

Output
The value obtained for the energy of formation from the pure elements is -161 meV per atom. The density of states at the Fermi level is 1.016 states/eV/atom.

---

Record 2
DFT (PBE-GGA) results for a geometry-optimized Li2NdNpSe4 structure.

Cell lengths 4.161, 7.218, 6.938 Å; angles 110.38, 90.00, 90.00 degrees
Site moments in Bohr magnetons follow the coordinates.
Positions (direct):
Se1 0.500 0.742 0.739  -0.02
Li1 0.000 0.500 0.500  0.00
Np1 0.500 0.500 0.000  3.87
Li2 0.500 0.000 0.500  0.00
Nd1 0.000 0.000 0.000  0.06
Se2 0.000 0.747 0.256  -0.06
Se3 0.500 0.258 0.261  -0.02
Se4 0.000 0.253 0.744  -0.06

Output
The raw formation energy is -1416.4 meV/atom. The density of states at the Fermi level is 1.044 states/eV/atom.

---

Record 3
DFT (PBE-GGA) results for a geometry-optimized Ac12Pt6Pb structure.

Cell lengths 9.529, 9.529, 9.529 Å; angles 109.47, 109.47, 109.47 degrees
Positions (direct):
Ac1 0.822 0.689 0.511
Ac2 0.689 0.511 0.822
Pt1 0.632 0.500 0.132
Ac3 0.311 0.489 0.178
Ac4 0.178 0.311 0.489
Ac5 0.178 0.689 0.866
Ac6 0.134 0.822 0.311
Ac7 0.689 0.866 0.178
Pt2 0.500 0.132 0.632
Pt3 0.368 0.500 0.868
Pt4 0.868 0.368 0.500
Ac8 0.866 0.178 0.689
Ac9 0.489 0.178 0.311
Ac10 0.511 0.822 0.689
Pb1 0.000 0.000 0.000
Ac11 0.822 0.311 0.134
Pt5 0.132 0.632 0.500
Pt6 0.500 0.868 0.368
Ac12 0.311 0.134 0.822

Output
The value obtained for the energy of formation from the pure elements is -795 meV per atom. The density of states at the Fermi level is 0.946 states/eV/atom.

---

Record 4
DFT (PBE-GGA) results for a geometry-optimized OsAu2Br structure.

Cell lengths 7.137, 7.137, 7.137 Å; angles 156.70, 142.12, 44.95 degrees
Positions (direct):
Au1 0.272 0.772 0.500
Br1 0.580 0.580 0.000
Au2 0.913 0.913 0.000
Os1 0.736 0.236 0.500

Output
The raw formation energy is 624.1 meV/atom. The density of states at the Fermi level is 0.823 states/eV/atom.

---

Record 5
DFT (PBE-GGA) results for a geometry-optimized Fe3Ir structure.

Cell lengths 4.186, 4.186, 2.930 Å; angles 90.00, 90.00, 89.98 degrees
Site moments in Bohr magnetons follow the coordinates.
Positions (direct):
Fe1 0.000 0.500 0.500  2.79
Ir1 0.500 0.500 0.000  0.68
Fe2 0.000 0.000 0.000  2.75
Fe3 0.500 0.000 0.500  2.79

Output
The value obtained for the energy of formation from the pure elements is -35 meV per atom. The density of states at the Fermi level is 0.563 states/eV/atom.

---

Record 6
DFT (PBE-GGA) results for a geometry-optimized BPRhW2 structure.

Cell lengths 4.801, 3.766, 4.801 Å; angles 90.00, 90.00, 90.00 degrees
Site moments in Bohr magnetons follow the coordinates.
Positions (direct):
B1 0.000 0.500 0.000  -0.01
W1 0.000 0.000 0.500  0.19
W2 0.500 0.000 0.000  0.26
Rh1 0.000 0.000 0.000  -0.01
P1 0.500 0.500 0.500  -0.03

Output
The value obtained for the energy of formation from the pure elements is 1649 meV per atom. The density of states at the Fermi level is 1.068 states/eV/atom.

---

Q: Which formula does entry 1 have?
A: Tb3Zn

---

Copy entry 5 word for word.
DFT (PBE-GGA) results for a geometry-optimized Fe3Ir structure.

Cell lengths 4.186, 4.186, 2.930 Å; angles 90.00, 90.00, 89.98 degrees
Site moments in Bohr magnetons follow the coordinates.
Positions (direct):
Fe1 0.000 0.500 0.500  2.79
Ir1 0.500 0.500 0.000  0.68
Fe2 0.000 0.000 0.000  2.75
Fe3 0.500 0.000 0.500  2.79

Output
The value obtained for the energy of formation from the pure elements is -35 meV per atom. The density of states at the Fermi level is 0.563 states/eV/atom.